# 1
## Ba5Na2Ag (PBE-GGA)

Data for a relaxed structure of Ba5Na2Ag.

a = 4.593 Å, b = 14.326 Å, c = 24.636 Å
α = 90.00°, β = 90.00°, γ = 90.00°
Space group Cmcm (No. 63)
One atom of each set of equivalent atoms:
Ba1 0.000 0.007 0.250 x4
Ba2 0.000 0.138 0.042 x8
Ba3 0.000 0.410 0.114 x8
Na1 0.000 0.288 0.678 x8
Ag1 0.000 0.323 0.250 x4

# 2
## BaNa2Ag (PBE-GGA)

Data for a relaxed structure of BaNa2Ag.

a = 4.822 Å, b = 4.822 Å, c = 25.636 Å
α = 90.00°, β = 90.00°, γ = 90.00°
Space group I-42d (No. 122)
One atom of each set of equivalent atoms:
Ba1 0.000 0.000 0.000 x4
Na1 0.207 0.250 0.625 x8
Ag1 0.000 0.000 0.500 x4

# 3
## BaNa2Ag2 (PBE-GGA)

Data for a relaxed structure of BaNa2Ag2.

a = 4.678 Å, b = 4.678 Å, c = 14.215 Å
α = 90.00°, β = 90.00°, γ = 90.00°
Space group I4/mmm (No. 139)
One atom of each set of equivalent atoms:
Ba1 0.000 0.000 0.000 x2
Na1 0.000 0.500 0.250 x4
Ag1 0.000 0.000 0.401 x4

# 4
## Ba2NaAg (PBE-GGA)

Data for a relaxed structure of Ba2NaAg.

a = 6.067 Å, b = 6.067 Å, c = 4.457 Å
α = 90.00°, β = 90.00°, γ = 90.00°
Space group P4/mmm (No. 123)
One atom of each set of equivalent atoms:
Ba1 0.000 0.500 0.000 x2
Na1 0.000 0.000 0.500 x1
Ag1 0.500 0.500 0.500 x1

# 5
## BaNa3Ag (PBE-GGA)

Data for a relaxed structure of BaNa3Ag.

a = 7.101 Å, b = 7.101 Å, c = 7.101 Å
α = 90.00°, β = 90.00°, γ = 90.00°
Space group Pm-3m (No. 221)
One atom of each set of equivalent atoms:
Ba1 0.000 0.000 0.000 x1
Na1 0.000 0.000 0.500 x3
Ag1 0.500 0.500 0.500 x1

# 6
## BaNaAg2 (PBE-GGA)

Data for a relaxed structure of BaNaAg2.

a = 5.0865 Å, b = 5.0865 Å, c = 16.5496 Å
α = 90.00°, β = 90.00°, γ = 120.00°
Space group R-3m (No. 166, hexagonal axes)
One atom of each set of equivalent atoms:
Ba1 0.0000 0.0000 0.0000 x3
Na1 0.0000 0.0000 0.5000 x3
Ag1 0.0000 0.0000 0.2073 x6

# 7
## BaNaAg2 (PBE-GGA)

Data for a relaxed structure of BaNaAg2.

a = 3.991 Å, b = 3.991 Å, c = 7.323 Å
α = 90.00°, β = 90.00°, γ = 90.00°
Space group P4/mmm (No. 123)
One atom of each set of equivalent atoms:
Ba1 0.000 0.000 0.000 x1
Na1 0.000 0.000 0.500 x1
Ag1 0.500 0.500 0.299 x2

# 8
## BaNaAg (PBE-GGA)

Data for a relaxed structure of BaNaAg.

a = 4.156 Å, b = 4.156 Å, c = 12.081 Å
α = 90.00°, β = 90.00°, γ = 90.00°
Space group I4mm (No. 107)
One atom of each set of equivalent atoms:
Ba1 0.000 0.000 0.000 x2
Na1 0.000 0.000 0.285 x2
Ag1 0.000 0.000 0.664 x2

For the records above, the corresponding DFT total energy values read -1.916, -1.837, -2.188, -2.062, -0.861, -2.394, -2.348, -2.106 eV/atom.